# 1
First-principles (PBEsol) data for crystalline ScCrOs2 at its relaxed geometry, as listed in Alexandria via LeMat-Bulk.

Output
- Relative energy among the computed polymorphs: 72 meV per atom
- Mass density: 13.9 g/cm3
- Calculated formation energy: 0.137 eV per atom
- E: -10.183 eV/atom

Cell lengths 4.3251, 4.3251, 4.3251 Å; angles 60.00, 60.00, 60.00 degrees
Sites, in units of the cell vectors:
Os  0.0000  0.0000  0.0000
Os  0.7500  0.7500  0.7500
Cr  0.5000  0.5000  0.5000
Sc  0.2500  0.2500  0.2500


# 2
First-principles (PBEsol) data for crystalline ScCrOs3 at its relaxed geometry, as listed in Alexandria via LeMat-Bulk.

Output
- Mass density: 12.9 g/cm3
- Calculated formation energy: 1.030 eV per atom
- E: -9.669 eV/atom

Cell lengths 4.4102, 4.4102, 4.4102 Å; angles 90.00, 90.00, 90.00 degrees
Sites, in units of the cell vectors:
Cr  0.0000  0.0000  0.0000
Os  0.0000  0.0000  0.5000
Os  0.0000  0.5000  0.0000
Os  0.5000  0.0000  0.0000
Sc  0.5000  0.5000  0.5000